1.
# SrPuB2O6

SrPuB2O6 after structural relaxation (GGA-PBE, Alexandria via LeMat-Bulk).

Cell: 6.4287 6.4287 6.7377 Å, 100.24 100.24 103.89°
Last column: magnetic moment on the atom in μB.
Fractional positions:
Sr 0.1304 0.8696 0.2500  0.00
Sr 0.8696 0.1304 0.7500  0.00
O 0.1723 0.2219 0.1194  -0.03
O 0.7781 0.8277 0.3806  -0.03
O 0.3032 0.5322 0.4016  -0.05
O 0.5322 0.3032 0.9016  -0.05
O 0.6968 0.4678 0.5984  -0.05
O 0.5603 0.0701 0.2843  -0.04
O 0.9299 0.4397 0.2157  -0.04
O 0.4397 0.9299 0.7157  -0.04
O 0.0701 0.5603 0.7843  -0.04
O 0.2219 0.1723 0.6194  -0.03
O 0.8277 0.7781 0.8806  -0.03
O 0.4678 0.6968 0.0984  -0.05
B 0.8728 0.6113 0.7545  0.01
B 0.3887 0.1272 0.7455  0.01
B 0.6113 0.8728 0.2545  0.01
B 0.1272 0.3887 0.2455  0.01
Pu 0.4117 0.5883 0.7500  4.20
Pu 0.5883 0.4117 0.2500  4.20

## Properties
Size of the total moment = 8.00 μB per cell
Space-group type = C2/c, No. 15
Final energy = -8.671 eV/atom
Raw formation energy = -2.759 eV per atom

2.
# TlHg2TeSe

TlHg2TeSe after structural relaxation (GGA-PBE, Alexandria via LeMat-Bulk).

Cell: 4.8738 7.3671 10.6995 Å, 120.08 90.00 90.00°
Fractional positions:
Te 0.7500 0.7655 0.4751
Te 0.2500 0.2345 0.5249
Tl 0.2500 0.9472 0.1374
Tl 0.7500 0.0528 0.8626
Se 0.7500 0.6756 0.9287
Se 0.2500 0.3244 0.0713
Hg 0.7500 0.5008 0.6193
Hg 0.2500 0.3674 0.8276
Hg 0.7500 0.6326 0.1724
Hg 0.2500 0.4992 0.3807

## Properties
Size of the total moment = 0.00 μB per cell
Space-group type = P2_1/m, No. 11
Final energy = -2.014 eV/atom
Raw formation energy = -0.095 eV per atom

3.
# SrPuB12

SrPuB12 after structural relaxation (GGA-PBE, Alexandria via LeMat-Bulk).

Cell: 5.8729 5.8729 5.8729 Å, 60.00 60.00 60.00°
Last column: magnetic moment on the atom in μB.
Fractional positions:
B 0.3997 0.1003 0.3997  -0.01
B 0.3997 0.1003 0.1003  -0.01
B 0.1003 0.3997 0.1003  -0.01
B 0.1003 0.1003 0.3997  -0.01
B 0.8997 0.8997 0.6003  -0.01
B 0.6003 0.6003 0.8997  -0.01
B 0.1003 0.3997 0.3997  -0.01
B 0.8997 0.6003 0.6003  -0.01
B 0.3997 0.3997 0.1003  -0.01
B 0.8997 0.6003 0.8997  -0.01
B 0.6003 0.8997 0.8997  -0.01
B 0.6003 0.8997 0.6003  -0.01
Sr 0.0000 0.0000 0.0000  0.01
Pu 0.5000 0.5000 0.5000  5.30

## Properties
Size of the total moment = 5.56 μB per cell
ΔH_f (0 K) = -0.406 eV/atom
Space-group type = Fm-3m, No. 225
Final energy = -7.273 eV/atom

4.
# K3MoP

K3MoP after structural relaxation (GGA-PBE, Alexandria via LeMat-Bulk).

Cell: 6.2670 6.2670 6.2670 Å, 90.00 90.00 90.00°
Last column: magnetic moment on the atom in μB.
Fractional positions:
K 0.5000 0.0000 0.0000  0.01
K 0.0000 0.0000 0.5000  0.01
K 0.0000 0.5000 0.0000  0.01
P 0.0000 0.0000 0.0000  0.21
Mo 0.5000 0.5000 0.5000  4.08

## Properties
Size of the total moment = 6.00 μB per cell
ΔH_f (0 K) = 0.978 eV/atom
Space-group type = Pm-3m, No. 221
Final energy = -2.928 eV/atom
Polymorph energy (0 for the lowest one) = 0.0000 eV/atom

5.
# SrAs2Pt

SrAs2Pt after structural relaxation (GGA-PBE, Alexandria via LeMat-Bulk).

Cell: 3.8635 3.8635 7.0312 Å, 90.00 90.00 114.06°
Fractional positions:
Sr 0.5000 0.5000 0.7500
Pt 0.5000 0.5000 0.2500
As 0.0000 0.0000 0.0532
As 0.0000 0.0000 0.4468

## Properties
Size of the total moment = 0.00 μB per cell
ΔH_f (0 K) = -0.353 eV/atom
Space-group type = Cmmm, No. 65
Final energy = -4.608 eV/atom

6.
# Nd3Si2H

Nd3Si2H after structural relaxation (GGA-PBE, Alexandria via LeMat-Bulk).

Cell: 5.9312 8.2291 7.2082 Å, 106.61 114.29 90.00°
Fractional positions:
H 0.9610 0.7500 0.0000
H 0.0390 0.2500 0.0000
Nd 0.8350 0.4181 0.6716
Nd 0.5241 0.7500 0.0000
Nd 0.1634 0.0819 0.3284
Nd 0.1650 0.5819 0.3284
Nd 0.4759 0.2500 0.0000
Nd 0.8366 0.9181 0.6716
Si 0.6636 0.0828 0.3308
Si 0.3328 0.4172 0.6692
Si 0.3364 0.9172 0.6692
Si 0.6672 0.5828 0.3308

## Properties
Size of the total moment = 0.00 μB per cell
Space-group type = C2/c, No. 15
Final energy = -5.221 eV/atom

7.
# Ac2Tb3Sn4

Ac2Tb3Sn4 after structural relaxation (GGA-PBE, Alexandria via LeMat-Bulk).

Cell: 8.3098 8.5204 8.5370 Å, 90.00 90.00 110.04°
Fractional positions:
Sn 0.8627 0.4961 0.1340
Sn 0.3627 0.4961 0.3660
Sn 0.8535 0.0852 0.5432
Sn 0.1465 0.9148 0.4568
Sn 0.6373 0.5039 0.6340
Sn 0.6465 0.9148 0.0432
Sn 0.3535 0.0852 0.9568
Sn 0.1373 0.5039 0.8660
Tb 0.2472 0.2502 0.6663
Tb 0.5000 0.5000 0.0000
Tb 0.2528 0.7498 0.1663
Tb 0.7528 0.7498 0.3337
Tb 0.0000 0.5000 0.5000
Tb 0.7472 0.2502 0.8337
Ac 0.5635 0.1918 0.3255
Ac 0.4365 0.8082 0.6745
Ac 0.0635 0.1918 0.1745
Ac 0.9365 0.8082 0.8255

## Properties
Size of the total moment = 0.00 μB per cell
ΔH_f (0 K) = -0.785 eV/atom
Space-group type = P2_1/c, No. 14
Final energy = -5.020 eV/atom

8.
# Ba3Zn4Pt4

Ba3Zn4Pt4 after structural relaxation (GGA-PBE, Alexandria via LeMat-Bulk).

Cell: 6.9814 6.9814 6.9814 Å, 109.47 109.47 109.47°
Fractional positions:
Pt 0.0000 0.0000 0.6129
Pt 0.3871 0.3871 0.3871
Pt 0.0000 0.6129 0.0000
Pt 0.6129 0.0000 0.0000
Ba 0.5000 0.5000 0.0000
Ba 0.0000 0.5000 0.5000
Ba 0.5000 0.0000 0.5000
Zn 0.0000 0.0000 0.2463
Zn 0.2463 0.0000 0.0000
Zn 0.0000 0.2463 0.0000
Zn 0.7537 0.7537 0.7537

## Properties
Size of the total moment = 0.00 μB per cell
ΔH_f (0 K) = -0.614 eV/atom
Space-group type = I-43m, No. 217
Final energy = -3.798 eV/atom

9.
# Th4ZnTc2

Th4ZnTc2 after structural relaxation (GGA-PBE, Alexandria via LeMat-Bulk).

Cell: 7.4543 7.4543 7.6738 Å, 106.92 106.92 71.58°
Fractional positions:
Th 0.6352 0.1633 0.4736
Th 0.6031 0.1662 0.9684
Th 0.1633 0.6352 0.4736
Th 0.6153 0.6153 0.3441
Th 0.6186 0.6186 0.8329
Th 0.1662 0.6031 0.9684
Th 0.1308 0.1308 0.3552
Th 0.1174 0.1174 0.8236
Tc 0.9121 0.4226 0.6136
Tc 0.3295 0.3295 0.1937
Tc 0.3545 0.3545 0.6948
Tc 0.4226 0.9121 0.6136
Zn 0.8450 0.8450 0.1898
Zn 0.8364 0.8364 0.7049

## Properties
Size of the total moment = 0.00 μB per cell
ΔH_f (0 K) = -0.101 eV/atom
Space-group type = Cm, No. 8
Final energy = -7.485 eV/atom

10.
# TiRu3Br

TiRu3Br after structural relaxation (GGA-PBE, Alexandria via LeMat-Bulk).

Cell: 4.6658 4.6658 4.6658 Å, 90.00 90.00 90.00°
Last column: magnetic moment on the atom in μB.
Fractional positions:
Ru 0.5000 0.0000 0.0000  1.39
Ru 0.0000 0.5000 0.0000  1.70
Ru 0.0000 0.0000 0.5000  1.50
Ti 0.0000 0.0000 0.0000  -0.37
Br 0.5000 0.5000 0.5000  0.18

## Properties
Size of the total moment = 4.67 μB per cell
Space-group type = Pm-3m, No. 221
Final energy = -6.052 eV/atom
Raw formation energy = 1.427 eV per atom
Polymorph energy (0 for the lowest one) = 0.1072 eV/atom

11.
# SrLaSn2

SrLaSn2 after structural relaxation (GGA-PBE, Alexandria via LeMat-Bulk).

Cell: 4.5706 5.2387 5.2387 Å, 90.00 90.00 90.00°
Fractional positions:
Sr 0.5000 0.0000 0.0000
La 0.5000 0.5000 0.5000
Sn 0.0000 0.5000 0.0000
Sn 0.0000 0.0000 0.5000

## Properties
Size of the total moment = 0.00 μB per cell
ΔH_f (0 K) = -0.643 eV/atom
Space-group type = P4/mmm, No. 123
Final energy = -4.297 eV/atom

12.
# Al2VIr3

Al2VIr3 after structural relaxation (GGA-PBE, Alexandria via LeMat-Bulk).

Cell: 2.8840 2.8840 9.9908 Å, 90.00 90.00 90.00°
Last column: magnetic moment on the atom in μB.
Fractional positions:
Al 0.5000 0.5000 0.1613  0.00
Al 0.5000 0.5000 0.8387  0.00
Ir 0.0000 0.0000 0.3236  -0.01
Ir 0.0000 0.0000 0.0000  -0.01
Ir 0.0000 0.0000 0.6764  -0.01
V 0.5000 0.5000 0.5000  0.31

## Properties
Size of the total moment = 0.33 μB per cell
ΔH_f (0 K) = -0.798 eV/atom
Space-group type = P4/mmm, No. 123
Final energy = -7.996 eV/atom

13.
# BaLa2Ag

BaLa2Ag after structural relaxation (GGA-PBE, Alexandria via LeMat-Bulk).

Cell: 11.5314 11.5314 11.5314 Å, 19.79 19.79 19.79°
Fractional positions:
La 0.5183 0.5183 0.5183
La 0.9817 0.9817 0.9817
Ba 0.7500 0.7500 0.7500
Ag 0.2500 0.2500 0.2500

## Properties
Size of the total moment = 0.00 μB per cell
ΔH_f (0 K) = 0.083 eV/atom
Space-group type = R-3m, No. 166
Final energy = -3.574 eV/atom
Polymorph energy (0 for the lowest one) = 0.1504 eV/atom

14.
# KCr2Mo

KCr2Mo after structural relaxation (GGA-PBE, Alexandria via LeMat-Bulk).

Cell: 2.7041 2.7041 10.0093 Å, 90.00 90.00 112.13°
Fractional positions:
K 0.0000 0.0000 0.4908
Cr 0.0000 0.0000 0.0153
Cr 0.5000 0.5000 0.1878
Mo 0.5000 0.5000 0.8062

## Properties
Size of the total moment = 0.00 μB per cell
ΔH_f (0 K) = 0.882 eV/atom
Space-group type = Cmm2, No. 35
Final energy = -6.911 eV/atom
Polymorph energy (0 for the lowest one) = 0.0911 eV/atom

15.
# CaTeSe4

CaTeSe4 after structural relaxation (GGA-PBE, Alexandria via LeMat-Bulk).

Cell: 5.8713 5.8713 5.8713 Å, 60.00 60.00 60.00°
Fractional positions:
Se 0.8768 0.3744 0.3744
Se 0.3744 0.8768 0.3744
Se 0.3744 0.3744 0.8768
Se 0.3744 0.3744 0.3744
Ca 0.0000 0.0000 0.0000
Te 0.7500 0.7500 0.7500

## Properties
Size of the total moment = 0.00 μB per cell
Space-group type = F-43m, No. 216
Final energy = -3.231 eV/atom
Raw formation energy = -0.051 eV per atom

16.
# Li2SbTe

Li2SbTe after structural relaxation (GGA-PBE, Alexandria via LeMat-Bulk).

Cell: 3.3829 3.3829 8.4897 Å, 90.00 90.00 90.01°
Fractional positions:
Sb 0.0000 0.0000 0.3965
Li 0.5000 0.5000 0.2067
Li 0.0000 0.0000 0.0351
Te 0.5000 0.5000 0.8617

## Properties
Size of the total moment = 0.00 μB per cell
Space-group type = P4mm, No. 99
Final energy = -3.137 eV/atom
Raw formation energy = -0.364 eV per atom
Polymorph energy (0 for the lowest one) = 0.1498 eV/atom

17.
# ZrZnInPt

ZrZnInPt after structural relaxation (GGA-PBE, Alexandria via LeMat-Bulk).

Cell: 4.6974 4.6974 4.6974 Å, 60.00 60.00 60.00°
Fractional positions:
Zn 0.2500 0.2500 0.2500
Pt 0.7500 0.7500 0.7500
Zr 0.5000 0.5000 0.5000
In 0.0000 0.0000 0.0000

## Properties
Size of the total moment = 0.00 μB per cell
ΔH_f (0 K) = -0.542 eV/atom
Space-group type = F-43m, No. 216
Final energy = -5.192 eV/atom

18.
# LaLu2Co

LaLu2Co after structural relaxation (GGA-PBE, Alexandria via LeMat-Bulk).

Cell: 3.5875 3.5875 10.4316 Å, 80.10 80.10 60.00°
Fractional positions:
Lu 0.8837 0.8837 0.3490
Lu 0.1163 0.1163 0.6510
Co 0.5000 0.5000 0.5000
La 0.0000 0.0000 0.0000

## Properties
Size of the total moment = 0.00 μB per cell
ΔH_f (0 K) = 0.072 eV/atom
Space-group type = R-3m, No. 166
Final energy = -5.196 eV/atom
Polymorph energy (0 for the lowest one) = 0.2001 eV/atom

19.
# Ac3TmTl4

Ac3TmTl4 after structural relaxation (GGA-PBE, Alexandria via LeMat-Bulk).

Cell: 3.9493 3.9493 16.8872 Å, 90.00 90.00 90.00°
Fractional positions:
Tm 0.5000 0.5000 0.0000
Ac 0.5000 0.5000 0.7647
Ac 0.5000 0.5000 0.2353
Ac 0.5000 0.5000 0.5000
Tl 0.0000 0.0000 0.8983
Tl 0.0000 0.0000 0.3664
Tl 0.0000 0.0000 0.6336
Tl 0.0000 0.0000 0.1017

## Properties
Size of the total moment = 0.00 μB per cell
ΔH_f (0 K) = -0.336 eV/atom
Space-group type = P4/mmm, No. 123
Final energy = -3.618 eV/atom
Polymorph energy (0 for the lowest one) = 0.0000 eV/atom

20.
# TlNiN

TlNiN after structural relaxation (GGA-PBE, Alexandria via LeMat-Bulk).

Cell: 3.6563 3.6563 7.7990 Å, 90.00 90.00 90.00°
Fractional positions:
Tl 0.5000 0.0000 0.1809
Tl 0.0000 0.5000 0.8191
N 0.5000 0.0000 0.5841
N 0.0000 0.5000 0.4159
Ni 0.5000 0.5000 0.5000
Ni 0.0000 0.0000 0.5000

## Properties
Size of the total moment = 0.00 μB per cell
Space-group type = P4/nmm, No. 129
Final energy = -5.095 eV/atom
Raw formation energy = 0.396 eV per atom
Polymorph energy (0 for the lowest one) = 0.0602 eV/atom